[1]
Crystalline CoSn2Ir at its relaxed geometry, computed with PBE.

Geometry as POSCAR:
```
CoSn2Ir
1.0
-2.9360 2.9360 5.8018
2.9360 -2.9360 5.8018
2.9360 2.9360 -5.8018
Co Sn Ir
2 4 2
direct
0.0000 0.0000 0.0000 Co
0.7500 0.2500 0.5000 Co
0.1108 0.6250 0.9858 Sn
0.3750 0.3608 0.4858 Sn
0.6392 0.1250 0.0142 Sn
0.8750 0.8892 0.5142 Sn
0.2500 0.7500 0.5000 Ir
0.5000 0.5000 0.0000 Ir
```

Properties
Formation energy from the elements = 593 meV/atom
Final energy = -43.2 eV per cell
Symmetry = No. 122



[2]
Crystalline MgTiHgPt at its relaxed geometry, computed with PBE.

Geometry as POSCAR:
```
MgTiHgPt
1.0
0.0000 3.2722 3.2722
3.2722 0.0000 3.2722
3.2722 3.2722 0.0000
Mg Ti Hg Pt
1 1 1 1
direct
0.0000 0.0000 0.0000 Mg
0.5000 0.5000 0.5000 Ti
0.7500 0.7500 0.7500 Hg
0.2500 0.2500 0.2500 Pt
```

Properties
Formation energy from the elements = -468 meV/atom
Final energy = -17.7 eV per cell
Symmetry = No. 216



[3]
Crystalline ZrSnSe2N at its relaxed geometry, computed with PBE.

Geometry as POSCAR:
```
ZrSnSe2N
1.0
5.3942 0.0000 0.0000
0.0000 5.3942 0.0000
0.0000 0.0000 4.0794
Zr Sn Se N
1 1 2 1
direct
0.0000 0.0000 0.0000 Zr
0.5000 0.5000 0.5000 Sn
0.0000 0.5000 0.0000 Se
0.5000 0.0000 0.0000 Se
0.0000 0.0000 0.5000 N
```

Properties
Formation energy without anion corrections = -0.3003 eV/atom
Final energy = -29.3 eV per cell
Symmetry = No. 123



[4]
Crystalline Pm3PrSm3 at its relaxed geometry, computed with PBE.

Geometry as POSCAR:
```
Pm3PrSm3
1.0
4.4143 2.5486 7.4081
-4.4143 2.5486 7.4081
0.0000 -5.0972 7.4081
Pm Pr Sm
6 2 6
direct
0.0680 0.5673 0.2228 Pm
0.2228 0.0680 0.5673 Pm
0.4327 0.7772 0.9320 Pm
0.5673 0.2228 0.0680 Pm
0.7772 0.9320 0.4327 Pm
0.9320 0.4327 0.7772 Pm
0.1516 0.1516 0.1516 Pr
0.8484 0.8484 0.8484 Pr
0.2098 0.6758 0.4381 Sm
0.3242 0.5619 0.7902 Sm
0.4381 0.2098 0.6758 Sm
0.5619 0.7902 0.3242 Sm
0.6758 0.4381 0.2098 Sm
0.7902 0.3242 0.5619 Sm
```

Properties
Formation energy from the elements = 209 meV/atom
Final energy = -63.5 eV per cell
Symmetry = No. 148



Repeat the second record exactly.
Crystalline MgTiHgPt at its relaxed geometry, computed with PBE.

Geometry as POSCAR:
```
MgTiHgPt
1.0
0.0000 3.2722 3.2722
3.2722 0.0000 3.2722
3.2722 3.2722 0.0000
Mg Ti Hg Pt
1 1 1 1
direct
0.0000 0.0000 0.0000 Mg
0.5000 0.5000 0.5000 Ti
0.7500 0.7500 0.7500 Hg
0.2500 0.2500 0.2500 Pt
```

Properties
Formation energy from the elements = -468 meV/atom
Final energy = -17.7 eV per cell
Symmetry = No. 216



What did the first record say?
Crystalline CoSn2Ir at its relaxed geometry, computed with PBE.

Geometry as POSCAR:
```
CoSn2Ir
1.0
-2.9360 2.9360 5.8018
2.9360 -2.9360 5.8018
2.9360 2.9360 -5.8018
Co Sn Ir
2 4 2
direct
0.0000 0.0000 0.0000 Co
0.7500 0.2500 0.5000 Co
0.1108 0.6250 0.9858 Sn
0.3750 0.3608 0.4858 Sn
0.6392 0.1250 0.0142 Sn
0.8750 0.8892 0.5142 Sn
0.2500 0.7500 0.5000 Ir
0.5000 0.5000 0.0000 Ir
```

Properties
Formation energy from the elements = 593 meV/atom
Final energy = -43.2 eV per cell
Symmetry = No. 122



Q: final energy of number 3 (ZrSnSe2N)?
A: -29.3 eV per cell



Q: Which of these has the highest final energy?
A: MgTiHgPt